# PBE Ac2TbSb, optimized geometry
data_Ac2TbSb
_symmetry_space_group_name_H-M 'R -3 m'
_symmetry_Int_Tables_number 166
_symmetry_space_group_name_Hall '-R 3 2"'
_cell_length_a 3.7661
_cell_length_b 3.7661
_cell_length_c 38.3573
_cell_angle_alpha 90.00
_cell_angle_beta 90.00
_cell_angle_gamma 120.00
loop_
_atom_site_label
_atom_site_type_symbol
_atom_site_fract_x
_atom_site_fract_y
_atom_site_fract_z
Ac1 Ac 0.0000 0.0000 0.0867
Tb1 Tb 0.0000 0.0000 0.5000
Sb1 Sb 0.0000 0.0000 0.0000
# Formation energy from raw total energies: 108 meV per atom
# Total DFT energy (no corrections): -4.13 eV per atom
# DOS(E_F): 17.09 states/eV/cell


# PBE Ac2TbSb3, optimized geometry
data_Ac2TbSb3
_symmetry_space_group_name_H-M 'C 1 2/m 1'
_symmetry_Int_Tables_number 12
_cell_length_a 8.093
_cell_length_b 14.019
_cell_length_c 8.090
_cell_angle_alpha 90.00
_cell_angle_beta 109.54
_cell_angle_gamma 90.00
loop_
_symmetry_equiv_pos_as_xyz
'x,y,z'
'-x,-y,-z'
'-x,y,-z'
'x,-y,z'
'x+1/2,y+1/2,z'
'-x+1/2,-y+1/2,-z'
'-x+1/2,y+1/2,-z'
'x+1/2,-y+1/2,z'
loop_
_atom_site_label
_atom_site_type_symbol
_atom_site_fract_x
_atom_site_fract_y
_atom_site_fract_z
Ac1 Ac 0.000 0.000 0.000
Ac2 Ac 0.000 0.163 0.500
Ac3 Ac 0.000 0.500 0.500
Tb1 Tb 0.000 0.332 0.000
Sb1 Sb 0.232 0.500 0.233
Sb2 Sb 0.248 0.327 0.764
# Formation energy from raw total energies: -1166 meV per atom
# Total DFT energy (no corrections): -5.37 eV per atom
# DOS(E_F): 3.21 states/eV/cell


# PBE AcTb3Sb2, optimized geometry
data_AcTb3Sb2
_symmetry_space_group_name_H-M 'C 1 2/m 1'
_symmetry_Int_Tables_number 12
_cell_length_a 18.846
_cell_length_b 4.497
_cell_length_c 9.830
_cell_angle_alpha 90.00
_cell_angle_beta 113.83
_cell_angle_gamma 90.00
loop_
_symmetry_equiv_pos_as_xyz
'x,y,z'
'-x,-y,-z'
'-x,y,-z'
'x,-y,z'
'x+1/2,y+1/2,z'
'-x+1/2,-y+1/2,-z'
'-x+1/2,y+1/2,-z'
'x+1/2,-y+1/2,z'
loop_
_atom_site_label
_atom_site_type_symbol
_atom_site_fract_x
_atom_site_fract_y
_atom_site_fract_z
Ac1 Ac 0.113 0.000 0.129
Tb1 Tb 0.059 0.000 0.675
Tb2 Tb 0.142 0.500 0.477
Tb3 Tb 0.189 0.500 0.886
Sb1 Sb 0.014 0.500 0.838
Sb2 Sb 0.241 0.000 0.705
# Formation energy from raw total energies: -682 meV per atom
# Total DFT energy (no corrections): -5.06 eV per atom
# DOS(E_F): 26.24 states/eV/cell


no.,density (g/cm³)
1,7.77
2,7.51
3,8.26